# 1
# PrScGa4

An optimized crystal structure of PrScGa4 (PBE, Alexandria).

Cell: 5.5126 5.5126 5.5126 Å, 60.00 60.00 60.00°
Closest atoms and distances in Å follow each position.
Fractional positions:
Sc1 0.2500 0.2500 0.2500  12 Ga 3.23, 4 Pr 3.38
Ga1 0.6246 0.6246 0.1261  6 Ga 2.75-2.76
Pr1 0.0000 0.0000 0.0000  12 Ga 3.23, 4 Sc 3.38
Ga2 0.6246 0.6246 0.6246  6 Ga 2.75-2.76
Ga3 0.6246 0.1261 0.6246  6 Ga 2.75-2.76
Ga4 0.1261 0.6246 0.6246  6 Ga 2.75-2.76

Properties
* D(E_F): 0.704 states/eV/atom
* space-group type: F-43m (216)
* total magnetic moment: 0.0 μB/cell
* distance to the lowest polymorph of the same formula: 0.062 eV/atom


# 2
# CaNbAsBr2

An optimized crystal structure of CaNbAsBr2 (PBE, Alexandria).

Cell: 5.2254 5.2254 5.1423 Å, 90.00 90.00 90.00°
Closest atoms and distances in Å follow each position.
Fractional positions:
Br1 0.0000 0.5000 0.0000  2 Nb 2.61
Ca1 0.5000 0.5000 0.5000  8 Br 3.67, 4 As 3.69
Nb1 0.0000 0.0000 0.0000  2 As 2.57, 4 Br 2.61
As1 0.0000 0.0000 0.5000  2 Nb 2.57
Br2 0.5000 0.0000 0.0000  2 Nb 2.61

Properties
* D(E_F): 0.692 states/eV/atom
* space-group type: P4/mmm (123)
* total magnetic moment: 1.1 μB/cell
* distance to the lowest polymorph of the same formula: 0.000 eV/atom
* formation energy from raw total energies: -0.465 eV per atom


# 3
# MnNbCoHSe2

An optimized crystal structure of MnNbCoHSe2 (PBE, Alexandria).

Cell: 3.5993 4.7889 5.4451 Å, 105.98 91.57 109.75°
Closest atoms and distances in Å follow each position.
Fractional positions:
H1 0.4509 0.6746 0.8573  1 Mn 1.64, 1 Co 1.78
Se1 0.8707 0.5698 0.2423  2 Mn 2.36-2.38, 1 Co 2.39
Se2 0.6534 0.1408 0.6210  2 Mn 2.53-2.56, 1 Co 2.58, 3 Nb 2.71-2.79, 1 H 2.78
Co1 0.6495 0.0149 0.1280  1 H 1.78
Mn1 0.2637 0.3672 0.9567  1 H 1.64
Nb1 0.9973 0.7703 0.7841  2 H 1.90-1.94

Properties
* D(E_F): 0.512 states/eV/atom
* space-group type: P1 (1)
* total magnetic moment: 0.0 μB/cell
* distance to the lowest polymorph of the same formula: 0.178 eV/atom


# 4
# KIn2Ga

An optimized crystal structure of KIn2Ga (PBE, Alexandria).

Cell: 3.7365 3.7365 8.4317 Å, 90.00 90.00 90.00°
Closest atoms and distances in Å follow each position.
Fractional positions:
In1 0.0000 0.0000 0.1874  4 Ga 3.08, 1 In 3.16
K1 0.5000 0.5000 0.5000  8 In 3.73, 4 K 3.74
In2 0.0000 0.0000 0.8126  4 Ga 3.08, 1 In 3.16
Ga1 0.5000 0.5000 0.0000  8 In 3.08

Properties
* final energy: -0.181 Ry/atom
* D(E_F): 0.432 states/eV/atom
* space-group type: P4/mmm (123)
* total magnetic moment: 0.0 μB/cell


# 5
# ErMg2AlAu4

An optimized crystal structure of ErMg2AlAu4 (PBE, Alexandria).

Cell: 4.6309 4.6309 8.6095 Å, 74.40 74.40 60.00°
Closest atoms and distances in Å follow each position.
Fractional positions:
Er1 0.0000 0.0000 0.0000  8 Au 3.01-3.14
Al1 0.5000 0.5000 0.5000  8 Au 2.71-2.84
Au1 0.8719 0.8719 0.3842  3 Al 2.84, 4 Mg 2.85-2.89, 1 Er 3.14
Mg1 0.7543 0.7543 0.7370  7 Au 2.78-2.89
Au2 0.6105 0.6105 0.1684  1 Al 2.71, 3 Mg 2.78, 3 Er 3.01
Au3 0.1281 0.1281 0.6158  3 Al 2.84, 4 Mg 2.85-2.89, 1 Er 3.14
Mg2 0.2457 0.2457 0.2630  7 Au 2.78-2.89
Au4 0.3895 0.3895 0.8316  1 Al 2.71, 3 Mg 2.78, 3 Er 3.01

Properties
* final energy: -0.272 Ry/atom
* D(E_F): 0.425 states/eV/atom
* space-group type: R-3m (166)
* total magnetic moment: 0.0 μB/cell


# 6
# Sm4RuRh2

An optimized crystal structure of Sm4RuRh2 (PBE, Alexandria).

Cell: 4.3444 6.0350 7.2530 Å, 79.26 72.57 68.90°
Closest atoms and distances in Å follow each position.
Fractional positions:
Rh1 0.6538 0.3450 0.3475  1 Rh 2.86, 5 Sm 2.88-3.11
Sm1 0.6849 0.7130 0.9173  2 Ru 2.80, 2 Rh 2.88
Rh2 0.3462 0.6550 0.6525  1 Rh 2.86, 5 Sm 2.88-3.11
Sm2 0.3151 0.2870 0.0827  2 Ru 2.80, 2 Rh 2.88
Sm3 0.9161 0.7900 0.3778  1 Ru 2.77, 2 Rh 2.94
Ru1 0.0000 0.0000 0.0000  6 Sm 2.77-2.80
Sm4 0.0839 0.2100 0.6222  1 Ru 2.77, 2 Rh 2.94

Properties
* D(E_F): 0.398 states/eV/atom
* space-group type: C2/m (12)
* total magnetic moment: 0.0 μB/cell
* distance to the lowest polymorph of the same formula: 0.000 eV/atom